Record 1
First-principles (PBE-GGA) data for a relaxed Sm2Y6HoTm3 crystal, as listed in Alexandria.

Calculated values
Space group: C2/m, No. 12
Total energy in eV/atom: -5.49
ΔE_f in meV per atom: 23.9

Cell lengths 6.1578, 6.1578, 11.7840 Å; angles 94.98, 94.98, 119.94 degrees
Fractional coordinates of all 12 atoms:
Sm  0.3333  0.6667  0.0000
Sm  0.6667  0.3333  0.0000
Y  0.9152  0.5823  0.7473
Y  0.7521  0.7521  0.2528
Y  0.0848  0.4177  0.2527
Y  0.5823  0.9152  0.7473
Y  0.2479  0.2479  0.7472
Y  0.4177  0.0848  0.2527
Ho  0.0000  0.0000  0.0000
Tm  0.1665  0.8335  0.5000
Tm  0.8335  0.1665  0.5000
Tm  0.5000  0.5000  0.5000


Record 2
First-principles (PBE-GGA) data for a relaxed Li2AsC crystal, as listed in Alexandria.

Calculated values
Space group: Fm-3m, No. 225
Polymorph energy (0 for the lowest one) in eV/atom: 0.259
Total energy in eV/atom: -3.73
ΔE_f in meV per atom: 696.3

Cell lengths 4.0909, 4.0909, 4.0909 Å; angles 60.00, 60.00, 60.00 degrees
Fractional coordinates of all 4 atoms:
As  0.5000  0.5000  0.5000
C  0.0000  0.0000  0.0000
Li  0.2500  0.2500  0.2500
Li  0.7500  0.7500  0.7500


- Look up the total energy of the second one.
  -3.73 eV/atom


- Among the records above, which one has the lowest total energy?
  Sm2Y6HoTm3


- Among the records above, which one has the lowest total energy?
  Sm2Y6HoTm3